Here is crystalline La6TmMg at its relaxed geometry from Alexandria via LeMat-Bulk. Energies are from PBE-GGA.

Unit cell a=5.162 b=5.162 c=10.321 alpha=90.00 beta=90.00 gamma=90.00
Fractional coordinates of all 8 atoms:
La  0.500  0.500  0.500
La  0.500  0.000  0.750
La  0.500  0.000  0.250
La  0.000  0.500  0.250
La  0.500  0.500  0.000
La  0.000  0.500  0.750
Tm  0.000  0.000  0.500
Mg  0.000  0.000  0.000

Results
The volume comes out at 34.371 Å³/atom. The calculation puts the formation energy at -0.011 eV/atom. Its total magnetic moment is 0.000 μB/cell.